Li2CaMn | PBEsol | optimized geometry

Structure (POSCAR):
```
Li2CaMn
1.0
4.160 0.000 0.000
0.000 4.160 0.000
-2.080 -2.080 10.633
Ca Mn Li
2 2 4
direct
0.750 0.250 0.500 Ca
0.500 0.500 0.000 Ca
0.250 0.750 0.500 Mn
0.000 0.000 0.000 Mn
0.918 0.875 0.250 Li
0.332 0.375 0.250 Li
0.125 0.668 0.750 Li
0.625 0.082 0.750 Li
```

The value obtained for the formation energy is 0.55 eV/atom.